No. 1
The following is a DFT calculation (GGA-PBE) of a geometry-optimized SmInHgTe3 structure.

abc: 15.1125 4.5021 11.9380
angles: 90.00 90.00 90.00
Sites, in units of the cell vectors:
Sm (0.0266, 0.2500, 0.1601)
Sm (0.4734, 0.7500, 0.6601)
Sm (0.5266, 0.2500, 0.3399)
Sm (0.9734, 0.7500, 0.8399)
In (0.2402, 0.2500, 0.4544)
In (0.2598, 0.7500, 0.9544)
In (0.7402, 0.2500, 0.0456)
In (0.7598, 0.7500, 0.5456)
Hg (0.0204, 0.7500, 0.3889)
Hg (0.4796, 0.2500, 0.8889)
Hg (0.5204, 0.7500, 0.1111)
Hg (0.9796, 0.2500, 0.6111)
Te (0.1014, 0.7500, 0.6191)
Te (0.1053, 0.2500, 0.9204)
Te (0.1629, 0.7500, 0.2328)
Te (0.3371, 0.2500, 0.7328)
Te (0.3947, 0.7500, 0.4204)
Te (0.3986, 0.2500, 0.1191)
Te (0.6014, 0.7500, 0.8809)
Te (0.6053, 0.2500, 0.5796)
Te (0.6629, 0.7500, 0.2672)
Te (0.8371, 0.2500, 0.7672)
Te (0.8947, 0.7500, 0.0796)
Te (0.8986, 0.2500, 0.3809)

ρ ... 6.94 Mg/m³
Offset from the most stable computed form ... 0.08 eV per formula unit


No. 2
The following is a DFT calculation (GGA-PBE) of a geometry-optimized SmInHgTe3 structure.

abc: 8.6883 4.4737 11.0944
angles: 90.00 106.67 90.00
Sites, in units of the cell vectors:
Sm (0.1935, 0.2500, 0.1450)
Sm (0.8065, 0.7500, 0.8550)
In (0.2366, 0.7500, 0.7126)
In (0.7634, 0.2500, 0.2874)
Hg (0.4111, 0.7500, 0.3817)
Hg (0.5889, 0.2500, 0.6183)
Te (0.0603, 0.2500, 0.8529)
Te (0.2413, 0.2500, 0.4499)
Te (0.4486, 0.7500, 0.1375)
Te (0.5514, 0.2500, 0.8625)
Te (0.7587, 0.7500, 0.5501)
Te (0.9397, 0.7500, 0.1471)

ρ ... 6.82 Mg/m³
Offset from the most stable computed form ... 0.13 eV per formula unit


No. 3
The following is a DFT calculation (GGA-PBE) of a geometry-optimized SmInHgTe3 structure.

abc: 7.9641 7.9641 11.5804
angles: 90.00 90.00 147.57
Sites, in units of the cell vectors:
Sm (0.0000, 0.0000, 0.0000)
Sm (0.0000, 0.0000, 0.5000)
In (0.2382, 0.7618, 0.7500)
In (0.7618, 0.2382, 0.2500)
Hg (0.4679, 0.5321, 0.2500)
Hg (0.5321, 0.4679, 0.7500)
Te (0.0901, 0.9099, 0.2500)
Te (0.3572, 0.6428, 0.0529)
Te (0.3572, 0.6428, 0.4471)
Te (0.6428, 0.3572, 0.5529)
Te (0.6428, 0.3572, 0.9471)
Te (0.9099, 0.0901, 0.7500)

ρ ... 7.15 Mg/m³
Offset from the most stable computed form ... 0.01 eV per formula unit


No. 4
The following is a DFT calculation (GGA-PBE) of a geometry-optimized SmInHgTe3 structure.

abc: 11.6467 4.4753 15.1177
angles: 90.00 90.00 90.00
Sites, in units of the cell vectors:
Sm (0.0154, 0.2500, 0.2457)
Sm (0.4846, 0.7500, 0.7457)
Sm (0.5154, 0.2500, 0.2543)
Sm (0.9846, 0.7500, 0.7543)
In (0.2253, 0.7500, 0.5115)
In (0.2747, 0.2500, 0.0115)
In (0.7253, 0.7500, 0.9885)
In (0.7747, 0.2500, 0.4885)
Hg (0.2401, 0.2500, 0.7190)
Hg (0.2599, 0.7500, 0.2190)
Hg (0.7401, 0.2500, 0.7810)
Hg (0.7599, 0.7500, 0.2810)
Te (0.0386, 0.2500, 0.6113)
Te (0.0687, 0.7500, 0.1032)
Te (0.2367, 0.7500, 0.8412)
Te (0.2633, 0.2500, 0.3412)
Te (0.4313, 0.2500, 0.6032)
Te (0.4614, 0.7500, 0.1113)
Te (0.5386, 0.2500, 0.8887)
Te (0.5687, 0.7500, 0.3968)
Te (0.7367, 0.7500, 0.6588)
Te (0.7633, 0.2500, 0.1588)
Te (0.9313, 0.2500, 0.8968)
Te (0.9614, 0.7500, 0.3887)

ρ ... 7.15 Mg/m³
Offset from the most stable computed form ... 0.00 eV per formula unit


No. 5
The following is a DFT calculation (GGA-PBE) of a geometry-optimized SmInHgTe3 structure.

abc: 9.9811 9.9811 9.5054
angles: 102.26 102.26 25.40
Sites, in units of the cell vectors:
Sm (0.1724, 0.1724, 0.0934)
Sm (0.8276, 0.8276, 0.9066)
In (0.1315, 0.1315, 0.5830)
In (0.8685, 0.8685, 0.4170)
Hg (0.4589, 0.4589, 0.7785)
Hg (0.5411, 0.5411, 0.2215)
Te (0.0000, 0.0000, 0.0000)
Te (0.3061, 0.3061, 0.6631)
Te (0.3348, 0.3348, 0.1426)
Te (0.5000, 0.5000, 0.5000)
Te (0.6652, 0.6652, 0.8574)
Te (0.6939, 0.6939, 0.3369)

ρ ... 7.11 Mg/m³
Offset from the most stable computed form ... 0.31 eV per formula unit


No. 6
The following is a DFT calculation (GGA-PBE) of a geometry-optimized SmInHgTe3 structure.

abc: 12.8344 4.6342 13.2553
angles: 90.00 90.00 90.00
Sites, in units of the cell vectors:
Sm (0.0296, 0.2500, 0.1875)
Sm (0.4704, 0.7500, 0.6875)
Sm (0.5296, 0.2500, 0.3125)
Sm (0.9704, 0.7500, 0.8125)
In (0.1806, 0.2500, 0.4916)
In (0.3194, 0.7500, 0.9916)
In (0.6806, 0.2500, 0.0084)
In (0.8194, 0.7500, 0.5084)
Hg (0.2437, 0.7500, 0.3015)
Hg (0.2563, 0.2500, 0.8015)
Hg (0.7437, 0.7500, 0.1985)
Hg (0.7563, 0.2500, 0.6985)
Te (0.0286, 0.7500, 0.3555)
Te (0.0851, 0.2500, 0.9361)
Te (0.2247, 0.7500, 0.6716)
Te (0.2753, 0.2500, 0.1716)
Te (0.4149, 0.7500, 0.4361)
Te (0.4714, 0.2500, 0.8555)
Te (0.5286, 0.7500, 0.1445)
Te (0.5851, 0.2500, 0.5639)
Te (0.7247, 0.7500, 0.8284)
Te (0.7753, 0.2500, 0.3284)
Te (0.9149, 0.7500, 0.0639)
Te (0.9714, 0.2500, 0.6445)

ρ ... 7.15 Mg/m³
Offset from the most stable computed form ... 0.27 eV per formula unit


No. 7
The following is a DFT calculation (GGA-PBE) of a geometry-optimized In2SnHg structure.

abc: 5.3048 5.3048 5.3048
angles: 60.00 60.00 60.00
Sites, in units of the cell vectors:
In (0.0000, 0.0000, 0.0000)
In (0.2500, 0.2500, 0.2500)
Sn (0.5000, 0.5000, 0.5000)
Hg (0.7500, 0.7500, 0.7500)

ρ ... 8.64 Mg/m³


No. 8
The following is a DFT calculation (GGA-PBE) of a geometry-optimized InSnHg structure.

abc: 5.0601 5.0601 5.0601
angles: 60.00 60.00 60.00
Sites, in units of the cell vectors:
In (0.0000, 0.0000, 0.0000)
Sn (0.7500, 0.7500, 0.7500)
Hg (0.5000, 0.5000, 0.5000)

ρ ... 7.87 Mg/m³
Offset from the most stable computed form ... 0.00 eV per formula unit


| no. | V (Å³ per cell) | total DFT energy (no corrections) (eV per atom) |
| --- | --- | --- |
| 1 | 812.24 | -3.53 |
| 2 | 413.10 | -3.52 |
| 3 | 393.90 | -3.54 |
| 4 | 787.97 | -3.54 |
| 5 | 396.44 | -3.49 |
| 6 | 788.38 | -3.50 |
| 7 | 105.56 | -2.40 |
| 8 | 91.61 | -2.27 |